# Cd2BiPb2, single point on PBEsol structure, DFT SCAN
data_Cd2BiPb2
_chemical_formula_sum 'Cd4 Bi2 Pb4'
_cell_length_a 4.107
_cell_length_b 4.107
_cell_length_c 16.833
_cell_angle_alpha 90.00
_cell_angle_beta 90.00
_cell_angle_gamma 90.00
_space_group_name_H-M_alt 'I 4/m m m'
_space_group_IT_number 139
_space_group_name_Hall '-I 4 2'
loop_
_atom_site_label
_atom_site_type_symbol
_atom_site_fract_x
_atom_site_fract_y
_atom_site_fract_z
Cd1 Cd 0.000 0.500 0.250
Bi1 Bi 0.000 0.000 0.000
Pb1 Pb 0.000 0.000 0.400
# ΔH_f (0 K)	107	meV per atom


# NaLaFePd2, single point on PBEsol structure, DFT SCAN
data_NaLaFePd2
_chemical_formula_sum 'Na1 La1 Fe1 Pd2'
_cell_length_a 4.843
_cell_length_b 4.843
_cell_length_c 4.621
_cell_angle_alpha 90.00
_cell_angle_beta 90.00
_cell_angle_gamma 90.00
_space_group_name_H-M_alt 'P 4/m m m'
_space_group_IT_number 123
_space_group_name_Hall '-P 4 2'
loop_
_atom_site_label
_atom_site_type_symbol
_atom_site_fract_x
_atom_site_fract_y
_atom_site_fract_z
Na1 Na 0.000 0.000 0.000
La1 La 0.500 0.500 0.000
Fe1 Fe 0.500 0.500 0.500
Pd1 Pd 0.000 0.500 0.500
# ΔH_f (0 K)	242	meV per atom


# RbNiP2S, single point on PBEsol structure, DFT SCAN
data_RbNiP2S
_chemical_formula_sum 'Rb1 Ni1 P2 S1'
_cell_length_a 4.396
_cell_length_b 4.396
_cell_length_c 5.092
_cell_angle_alpha 90.00
_cell_angle_beta 90.00
_cell_angle_gamma 90.00
_space_group_name_H-M_alt 'P 4/m m m'
_space_group_IT_number 123
_space_group_name_Hall '-P 4 2'
loop_
_atom_site_label
_atom_site_type_symbol
_atom_site_fract_x
_atom_site_fract_y
_atom_site_fract_z
Rb1 Rb 0.000 0.000 0.000
Ni1 Ni 0.500 0.500 0.500
P1 P 0.000 0.500 0.500
S1 S 0.500 0.500 0.000
# energy relative to the elements, uncorrected	0.18	eV per atom


# ScGaSn3, single point on PBEsol structure, DFT SCAN
data_ScGaSn3
_chemical_formula_sum 'Sc1 Ga1 Sn3'
_cell_length_a 5.394
_cell_length_b 5.394
_cell_length_c 5.394
_cell_angle_alpha 90.00
_cell_angle_beta 90.00
_cell_angle_gamma 90.00
_space_group_name_H-M_alt 'P m -3 m'
_space_group_IT_number 221
_space_group_name_Hall '-P 4 2 3'
loop_
_atom_site_label
_atom_site_type_symbol
_atom_site_fract_x
_atom_site_fract_y
_atom_site_fract_z
Sc1 Sc 0.000 0.000 0.000
Ga1 Ga 0.500 0.500 0.500
Sn1 Sn 0.000 0.000 0.500
# ΔH_f (0 K)	393	meV per atom